A.
SrCaRe: optimized geometry, PBE-GGA.

Results
- magnetic moment (μB per formula unit) = 0.0
- crystal system = orthorhombic

The structure in CIF format:
```
data_SrCaRe
_space_group_name_H-M_alt 'I m m 2'
_space_group_IT_number 44
_cell_length_a 3.016
_cell_length_b 4.783
_cell_length_c 10.570
_cell_angle_alpha 90.00
_cell_angle_beta 90.00
_cell_angle_gamma 90.00
loop_
_space_group_symop_operation_xyz
'x,y,z'
'-x,-y,z'
'-x,y,z'
'x,-y,z'
'x+1/2,y+1/2,z+1/2'
'-x+1/2,-y+1/2,z+1/2'
'-x+1/2,y+1/2,z+1/2'
'x+1/2,-y+1/2,z+1/2'
loop_
_atom_site_label
_atom_site_type_symbol
_atom_site_fract_x
_atom_site_fract_y
_atom_site_fract_z
Sr1 Sr 0.000 0.000 0.000
Ca1 Ca 0.000 0.000 0.298
Re1 Re 0.000 0.000 0.664
```

B.
SrCaRe: optimized geometry, PBE-GGA.

Results
- magnetic moment (μB per formula unit) = 2.1
- crystal system = cubic

The structure in CIF format:
```
data_SrCaRe
_space_group_name_H-M_alt 'F -4 3 m'
_space_group_IT_number 216
_space_group_name_Hall 'F -4 2 3'
_cell_length_a 7.338
_cell_length_b 7.338
_cell_length_c 7.338
_cell_angle_alpha 90.00
_cell_angle_beta 90.00
_cell_angle_gamma 90.00
loop_
_atom_site_label
_atom_site_type_symbol
_atom_site_fract_x
_atom_site_fract_y
_atom_site_fract_z
Sr1 Sr 0.000 0.000 0.000
Ca1 Ca 0.000 0.000 0.500
Re1 Re 0.250 0.250 0.250
```

A is favored, and the nearest alternative lies 0.308 eV/atom above it.

A.
SrCa3Re: optimized geometry, PBE-GGA.

Results
- magnetic moment (μB per formula unit) = 1.3
- crystal system = cubic

The structure in CIF format:
```
data_SrCa3Re
_space_group_name_H-M_alt 'P m -3 m'
_space_group_IT_number 221
_space_group_name_Hall '-P 4 2 3'
_cell_length_a 5.722
_cell_length_b 5.722
_cell_length_c 5.722
_cell_angle_alpha 90.00
_cell_angle_beta 90.00
_cell_angle_gamma 90.00
loop_
_atom_site_label
_atom_site_type_symbol
_atom_site_fract_x
_atom_site_fract_y
_atom_site_fract_z
Sr1 Sr 0.000 0.000 0.000
Ca1 Ca 0.000 0.500 0.500
Re1 Re 0.500 0.500 0.500
```

B.
SrCa3Re: optimized geometry, PBE-GGA.

Results
- magnetic moment (μB per formula unit) = 0.0
- crystal system = cubic

The structure in CIF format:
```
data_SrCa3Re
_space_group_name_H-M_alt 'P m -3 m'
_space_group_IT_number 221
_space_group_name_Hall '-P 4 2 3'
_cell_length_a 5.421
_cell_length_b 5.421
_cell_length_c 5.421
_cell_angle_alpha 90.00
_cell_angle_beta 90.00
_cell_angle_gamma 90.00
loop_
_atom_site_label
_atom_site_type_symbol
_atom_site_fract_x
_atom_site_fract_y
_atom_site_fract_z
Sr1 Sr 0.000 0.000 0.000
Ca1 Ca 0.000 0.000 0.500
Re1 Re 0.500 0.500 0.500
```

A is favored, and the nearest alternative lies 1.646 eV/atom above it.

A.
Sr3CaRe: optimized geometry, PBE-GGA.

Results
- magnetic moment (μB per formula unit) = 1.2
- crystal system = cubic

The structure in CIF format:
```
data_Sr3CaRe
_space_group_name_H-M_alt 'P m -3 m'
_space_group_IT_number 221
_space_group_name_Hall '-P 4 2 3'
_cell_length_a 6.311
_cell_length_b 6.311
_cell_length_c 6.311
_cell_angle_alpha 90.00
_cell_angle_beta 90.00
_cell_angle_gamma 90.00
loop_
_atom_site_label
_atom_site_type_symbol
_atom_site_fract_x
_atom_site_fract_y
_atom_site_fract_z
Sr1 Sr 0.000 0.000 0.500
Ca1 Ca 0.000 0.000 0.000
Re1 Re 0.500 0.500 0.500
```

B.
Sr3CaRe: optimized geometry, PBE-GGA.

Results
- magnetic moment (μB per formula unit) = 1.4
- crystal system = cubic

The structure in CIF format:
```
data_Sr3CaRe
_space_group_name_H-M_alt 'P m -3 m'
_space_group_IT_number 221
_space_group_name_Hall '-P 4 2 3'
_cell_length_a 5.997
_cell_length_b 5.997
_cell_length_c 5.997
_cell_angle_alpha 90.00
_cell_angle_beta 90.00
_cell_angle_gamma 90.00
loop_
_atom_site_label
_atom_site_type_symbol
_atom_site_fract_x
_atom_site_fract_y
_atom_site_fract_z
Sr1 Sr 0.000 0.000 0.500
Ca1 Ca 0.500 0.500 0.500
Re1 Re 0.000 0.000 0.000
```

B is favored, and the nearest alternative lies 1.174 eV/atom above it.

A.
CaTaRe: optimized geometry, PBE-GGA.

Results
- magnetic moment (μB per formula unit) = 0.0
- crystal system = tetragonal

The structure in CIF format:
```
data_CaTaRe
_space_group_name_H-M_alt 'I 4 m m'
_space_group_IT_number 107
_space_group_name_Hall 'I 4 -2'
_cell_length_a 3.341
_cell_length_b 3.341
_cell_length_c 11.645
_cell_angle_alpha 90.00
_cell_angle_beta 90.00
_cell_angle_gamma 90.00
loop_
_atom_site_label
_atom_site_type_symbol
_atom_site_fract_x
_atom_site_fract_y
_atom_site_fract_z
Ca1 Ca 0.000 0.000 0.000
Ta1 Ta 0.000 0.000 0.283
Re1 Re 0.000 0.000 0.684
```

B.
CaTaRe: optimized geometry, PBE-GGA.

Results
- magnetic moment (μB per formula unit) = 0.0
- crystal system = orthorhombic

The structure in CIF format:
```
data_CaTaRe
_space_group_name_H-M_alt 'F m m 2'
_space_group_IT_number 42
_space_group_name_Hall 'F 2 -2'
_cell_length_a 3.296
_cell_length_b 4.951
_cell_length_c 14.794
_cell_angle_alpha 90.00
_cell_angle_beta 90.00
_cell_angle_gamma 90.00
loop_
_atom_site_label
_atom_site_type_symbol
_atom_site_fract_x
_atom_site_fract_y
_atom_site_fract_z
Ca1 Ca 0.000 0.000 0.000
Ta1 Ta 0.000 0.000 0.303
Re1 Re 0.000 0.000 0.670
```

C.
CaTaRe: optimized geometry, PBE-GGA.

Results
- magnetic moment (μB per formula unit) = 0.0
- crystal system = orthorhombic

The structure in CIF format:
```
data_CaTaRe
_space_group_name_H-M_alt 'I m m 2'
_space_group_IT_number 44
_cell_length_a 2.745
_cell_length_b 5.031
_cell_length_c 8.346
_cell_angle_alpha 90.00
_cell_angle_beta 90.00
_cell_angle_gamma 90.00
loop_
_space_group_symop_operation_xyz
'x,y,z'
'-x,-y,z'
'-x,y,z'
'x,-y,z'
'x+1/2,y+1/2,z+1/2'
'-x+1/2,-y+1/2,z+1/2'
'-x+1/2,y+1/2,z+1/2'
'x+1/2,-y+1/2,z+1/2'
loop_
_atom_site_label
_atom_site_type_symbol
_atom_site_fract_x
_atom_site_fract_y
_atom_site_fract_z
Ca1 Ca 0.000 0.000 0.000
Ta1 Ta 0.000 0.000 0.342
Re1 Re 0.000 0.000 0.658
```

D.
CaTaRe: optimized geometry, PBE-GGA.

Results
- magnetic moment (μB per formula unit) = 0.0
- crystal system = trigonal

The structure in CIF format:
```
data_CaTaRe
_space_group_name_H-M_alt 'P 3 m 1'
_space_group_IT_number 156
_cell_length_a 4.8009
_cell_length_b 4.8009
_cell_length_c 2.8385
_cell_angle_alpha 90.00
_cell_angle_beta 90.00
_cell_angle_gamma 120.00
loop_
_space_group_symop_operation_xyz
'x,y,z'
'-y,x-y,z'
'-x+y,-x,z'
'-y,-x,z'
'-x+y,y,z'
'x,x-y,z'
loop_
_atom_site_label
_atom_site_type_symbol
_atom_site_fract_x
_atom_site_fract_y
_atom_site_fract_z
Ca1 Ca 0.0000 0.0000 0.0000
Ta1 Ta 0.6667 0.3333 0.6079
Re1 Re 0.3333 0.6667 0.3534
```

A is favored, and the nearest alternative lies 0.192 eV/atom above it.

A.
CaTaRe2: optimized geometry, PBE-GGA.

Results
- magnetic moment (μB per formula unit) = 0.0
- crystal system = tetragonal

The structure in CIF format:
```
data_CaTaRe2
_space_group_name_H-M_alt 'P 4 m m'
_space_group_IT_number 99
_cell_length_a 3.024
_cell_length_b 3.024
_cell_length_c 8.609
_cell_angle_alpha 90.00
_cell_angle_beta 90.00
_cell_angle_gamma 90.00
loop_
_space_group_symop_operation_xyz
'x,y,z'
'-y,x,z'
'-x,-y,z'
'y,-x,z'
'-x,y,z'
'y,x,z'
'x,-y,z'
'-y,-x,z'
loop_
_atom_site_label
_atom_site_type_symbol
_atom_site_fract_x
_atom_site_fract_y
_atom_site_fract_z
Ca1 Ca 0.000 0.000 0.000
Ta1 Ta 0.500 0.500 0.662
Re1 Re 0.000 0.000 0.443
Re2 Re 0.500 0.500 0.274
```

B.
CaTaRe2: optimized geometry, PBE-GGA.

Results
- magnetic moment (μB per formula unit) = 0.0
- crystal system = orthorhombic

The structure in CIF format:
```
data_CaTaRe2
_space_group_name_H-M_alt 'I m m m'
_space_group_IT_number 71
_space_group_name_Hall '-I 2 2'
_cell_length_a 3.177
_cell_length_b 4.878
_cell_length_c 9.193
_cell_angle_alpha 90.00
_cell_angle_beta 90.00
_cell_angle_gamma 90.00
loop_
_atom_site_label
_atom_site_type_symbol
_atom_site_fract_x
_atom_site_fract_y
_atom_site_fract_z
Ca1 Ca 0.000 0.000 0.000
Ta1 Ta 0.000 0.000 0.500
Re1 Re 0.000 0.500 0.235
```

C.
CaTaRe2: optimized geometry, PBE-GGA.

Results
- magnetic moment (μB per formula unit) = 0.0
- crystal system = orthorhombic

The structure in CIF format:
```
data_CaTaRe2
_space_group_name_H-M_alt 'I m m 2'
_space_group_IT_number 44
_cell_length_a 3.116
_cell_length_b 4.812
_cell_length_c 9.642
_cell_angle_alpha 90.00
_cell_angle_beta 90.00
_cell_angle_gamma 90.00
loop_
_space_group_symop_operation_xyz
'x,y,z'
'-x,-y,z'
'-x,y,z'
'x,-y,z'
'x+1/2,y+1/2,z+1/2'
'-x+1/2,-y+1/2,z+1/2'
'-x+1/2,y+1/2,z+1/2'
'x+1/2,-y+1/2,z+1/2'
loop_
_atom_site_label
_atom_site_type_symbol
_atom_site_fract_x
_atom_site_fract_y
_atom_site_fract_z
Ca1 Ca 0.000 0.000 0.000
Ta1 Ta 0.000 0.500 0.223
Re1 Re 0.000 0.000 0.485
Re2 Re 0.000 0.500 0.768
```

A is favored, and the nearest alternative lies 0.050 eV/atom above it.

A.
CaReTe: optimized geometry, PBE-GGA.

Results
- magnetic moment (μB per formula unit) = 0.0
- crystal system = trigonal

The structure in CIF format:
```
data_CaReTe
_space_group_name_H-M_alt 'P 3 m 1'
_space_group_IT_number 156
_cell_length_a 3.5193
_cell_length_b 3.5193
_cell_length_c 6.7563
_cell_angle_alpha 90.00
_cell_angle_beta 90.00
_cell_angle_gamma 120.00
loop_
_space_group_symop_operation_xyz
'x,y,z'
'-y,x-y,z'
'-x+y,-x,z'
'-y,-x,z'
'-x+y,y,z'
'x,x-y,z'
loop_
_atom_site_label
_atom_site_type_symbol
_atom_site_fract_x
_atom_site_fract_y
_atom_site_fract_z
Ca1 Ca 0.0000 0.0000 0.0000
Re1 Re 0.6667 0.3333 0.3434
Te1 Te 0.3333 0.6667 0.5942
```

B.
CaReTe: optimized geometry, PBE-GGA.

Results
- magnetic moment (μB per formula unit) = 0.0
- crystal system = tetragonal

The structure in CIF format:
```
data_CaReTe
_space_group_name_H-M_alt 'I 4 m m'
_space_group_IT_number 107
_space_group_name_Hall 'I 4 -2'
_cell_length_a 3.421
_cell_length_b 3.421
_cell_length_c 11.671
_cell_angle_alpha 90.00
_cell_angle_beta 90.00
_cell_angle_gamma 90.00
loop_
_atom_site_label
_atom_site_type_symbol
_atom_site_fract_x
_atom_site_fract_y
_atom_site_fract_z
Ca1 Ca 0.000 0.000 0.000
Re1 Re 0.000 0.000 0.682
Te1 Te 0.000 0.000 0.288
```

C.
CaReTe: optimized geometry, PBE-GGA.

Results
- magnetic moment (μB per formula unit) = 0.4
- crystal system = cubic

The structure in CIF format:
```
data_CaReTe
_space_group_name_H-M_alt 'F -4 3 m'
_space_group_IT_number 216
_space_group_name_Hall 'F -4 2 3'
_cell_length_a 6.577
_cell_length_b 6.577
_cell_length_c 6.577
_cell_angle_alpha 90.00
_cell_angle_beta 90.00
_cell_angle_gamma 90.00
loop_
_atom_site_label
_atom_site_type_symbol
_atom_site_fract_x
_atom_site_fract_y
_atom_site_fract_z
Ca1 Ca 0.000 0.000 0.000
Re1 Re 0.250 0.250 0.750
Te1 Te 0.000 0.000 0.500
```

B is favored, and the nearest alternative lies 0.212 eV/atom above it.